DFT (SCAN) results for OsPbW2 at its PBEsol-relaxed geometry.

abc: 2.869 3.968 6.567
angles: 90.00 106.80 90.00
Positions (direct):
Pb1 0.352 0.500 0.761
Os1 0.335 0.000 0.435
W1 0.049 0.000 0.034
W2 0.764 0.500 0.270

Calculated values
- E_form (eV/atom) = 0.737
- SG = Pm (6)
- energy (eV per atom) = -71.022